! SrZn2Ag9 (PBE-GGA, relaxed); values from VASP
! Symmetry: I4_1/amd (141)
! Magnetization (μB per cell): 0.00
! Raw total energy (eV per atom): -2.594
! Formation enthalpy at 0 K (eV per atom): -0.10
! Distance to the lowest polymorph of the same formula (meV/atom): 0
&SYSTEM
  ibrav = 0, nat = 24, ntyp = 3
/
ATOMIC_SPECIES
Sr 87.62 Sr.upf
Zn 65.41 Zn.upf
Ag 107.87 Ag.upf
CELL_PARAMETERS angstrom
-5.677 5.677 3.654
5.677 -5.677 3.654
5.677 5.677 -3.654
ATOMIC_POSITIONS crystal
Sr 0.375 0.625 0.750
Sr 0.625 0.375 0.250
Zn 0.000 0.000 0.000
Zn 0.000 0.000 0.500
Zn 0.000 0.500 0.000
Zn 0.500 0.000 0.500
Ag 0.125 0.875 0.250
Ag 0.138 0.562 0.331
Ag 0.138 0.806 0.575
Ag 0.194 0.269 0.331
Ag 0.194 0.862 0.925
Ag 0.269 0.194 0.831
Ag 0.269 0.438 0.075
Ag 0.438 0.269 0.575
Ag 0.438 0.862 0.169
Ag 0.562 0.138 0.831
Ag 0.562 0.731 0.425
Ag 0.731 0.562 0.925
Ag 0.731 0.806 0.169
Ag 0.806 0.138 0.075
Ag 0.806 0.731 0.669
Ag 0.862 0.194 0.425
Ag 0.862 0.438 0.669
Ag 0.875 0.125 0.750